Here is a relaxed KTbHoTe3 crystal from OQMD via LeMat-Bulk. Energies are from PBE.

Geometry as CIF:
```
data_KTbHoTe3
_cell_length_a 9.802
_cell_length_b 9.802
_cell_length_c 10.188
_cell_angle_alpha 103.01
_cell_angle_beta 103.01
_cell_angle_gamma 25.95
_space_group_name_H-M_alt 'P 1'
_space_group_IT_number 1
loop_
_space_group_symop_operation_xyz
'x,y,z'
loop_
_atom_site_label
_atom_site_type_symbol
_atom_site_fract_x
_atom_site_fract_y
_atom_site_fract_z
K1 K 0.148 0.148 0.064
K2 K 0.852 0.852 0.936
Tb1 Tb 0.500 0.500 0.290
Tb2 Tb 0.500 0.500 0.710
Ho1 Ho 0.169 0.169 0.574
Ho2 Ho 0.831 0.831 0.426
Te1 Te 0.000 0.000 0.500
Te2 Te 0.333 0.333 0.641
Te3 Te 0.334 0.334 0.216
Te4 Te 0.500 0.500 0.000
Te5 Te 0.666 0.666 0.784
Te6 Te 0.667 0.667 0.359
```

Calculated values
The space group is C2/m, No. 12.

Here is a relaxed KHoTe crystal from OQMD via LeMat-Bulk. Energies are from PBE.

Geometry as CIF:
```
data_KHoTe
_cell_length_a 5.310
_cell_length_b 5.310
_cell_length_c 5.310
_cell_angle_alpha 60.00
_cell_angle_beta 60.00
_cell_angle_gamma 60.00
_space_group_name_H-M_alt 'P 1'
_space_group_IT_number 1
loop_
_space_group_symop_operation_xyz
'x,y,z'
loop_
_atom_site_label
_atom_site_type_symbol
_atom_site_fract_x
_atom_site_fract_y
_atom_site_fract_z
K1 K 0.000 0.000 0.000
Ho1 Ho 0.500 0.500 0.500
Te1 Te 0.750 0.750 0.750
```

Calculated values
The space group is F-43m, No. 216.

We obtain magnetic moment values of 0.004, 0.286 μB per formula unit for the records listed above, in that order.
We obtain distance to the lowest polymorph of the same formula values of 0, 0 meV/atom for the records listed above, in that order.